No. 1
Entry from the Alexandria database: a relaxed structure of Na2ZnCl4O3 (PBE-GGA).

Structure (POSCAR):
```
Na2ZnCl4O3
1.0
1.344 -4.641 -4.951
4.328 0.701 5.352
-3.207 -4.272 3.143
Na Cl O Zn
2 4 3 1
Direct
0.667 0.333 0.196
0.333 0.667 0.196
0.000 0.681 0.913
0.318 0.318 0.913
0.681 0.000 0.913
0.000 0.000 0.392
0.355 0.355 0.317
0.000 0.646 0.317
0.646 0.000 0.317
0.000 0.000 0.007
```

Values from the calculation:
* magnetization: 6.09 μB per formula unit
* energy relative to the elements, uncorrected: -31.67 kJ per mole of atoms
* calculated density: 1.9 g/cm³

***

No. 2
Entry from the Alexandria database: a relaxed structure of Na2ZrCl2O2 (PBE-GGA).

Structure (POSCAR):
```
Na2ZrCl2O2
1.0
4.153 0.000 0.000
0.000 4.153 0.000
-2.077 -2.077 7.577
O Na Cl Zr
2 2 2 1
Direct
0.500 0.000 0.000
0.000 0.500 0.000
0.382 0.382 0.764
0.618 0.618 0.236
0.171 0.171 0.342
0.829 0.829 0.658
0.000 0.000 0.000
```

Values from the calculation:
* magnetization: 0.00 μB per formula unit
* energy relative to the elements, uncorrected: -219.59 kJ per mole of atoms
* calculated density: 3.1 g/cm³

***

No. 3
Entry from the Alexandria database: a relaxed structure of NaZr2ClO (PBE-GGA).

Structure (POSCAR):
```
NaZr2ClO
1.0
4.251 0.000 0.000
0.000 6.527 0.000
0.000 0.000 4.251
Cl Na O Zr
1 1 1 2
Direct
0.000 0.500 0.000
0.500 0.500 0.500
0.000 0.000 0.000
0.500 0.000 0.000
0.000 0.000 0.500
```

Values from the calculation:
* magnetization: 0.00 μB per formula unit
* energy relative to the elements, uncorrected: -93.87 kJ per mole of atoms
* calculated density: 3.6 g/cm³

***

No. 4
Entry from the Alexandria database: a relaxed structure of NaZrCl2O (PBE-GGA).

Structure (POSCAR):
```
NaZrCl2O
1.0
5.790 0.000 0.000
0.000 3.877 0.000
0.000 0.000 5.790
Na O Cl Zr
1 1 2 1
Direct
0.500 0.500 0.500
0.000 0.000 0.000
0.500 0.000 0.000
0.000 0.000 0.500
0.000 0.500 0.000
```

Values from the calculation:
* magnetization: 0.99 μB per formula unit
* energy relative to the elements, uncorrected: -119.10 kJ per mole of atoms
* calculated density: 2.6 g/cm³

***

No. 5
Entry from the Alexandria database: a relaxed structure of Na2OsCl2 (PBE-GGA).

Structure (POSCAR):
```
Na2OsCl2
1.0
-0.419 1.504 -6.356
5.915 -2.614 -1.008
-1.927 -4.041 -0.829
Cl Na Os
4 4 2
Direct
0.167 0.333 0.000
0.333 0.833 0.000
0.833 0.667 0.000
0.667 0.167 0.000
0.177 0.677 0.500
0.823 0.323 0.500
0.677 0.823 0.500
0.323 0.177 0.500
0.500 0.500 0.000
0.000 0.000 0.000
```

Values from the calculation:
* magnetization: 0.00 μB per formula unit
* energy relative to the elements, uncorrected: -7.12 kJ per mole of atoms
* energy above the most stable polymorph in this dataset: 0.00 eV per formula unit
* calculated density: 5.2 g/cm³

***

No. 6
Entry from the Alexandria database: a relaxed structure of NaOs3Cl (PBE-GGA).

Structure (POSCAR):
```
NaOs3Cl
1.0
4.732 0.000 0.000
0.000 4.732 0.000
0.000 0.000 4.732
Os Na Cl
3 1 1
Direct
0.000 0.000 0.500
0.500 0.000 0.000
0.000 0.500 0.000
0.000 0.000 0.000
0.500 0.500 0.500
```

Values from the calculation:
* magnetization: 7.49 μB per formula unit
* energy relative to the elements, uncorrected: 333.63 kJ per mole of atoms
* calculated density: 9.9 g/cm³

***

No. 7
Entry from the Alexandria database: a relaxed structure of Na3OsCl (PBE-GGA).

Structure (POSCAR):
```
Na3OsCl
1.0
-3.646 -2.950 2.137
0.082 -3.089 -4.124
3.641 -2.884 2.232
Cl Na Os
1 3 1
Direct
0.000 0.000 0.000
0.000 0.500 0.000
0.000 0.000 0.500
0.500 0.000 0.000
0.500 0.500 0.500
```

Values from the calculation:
* magnetization: 2.11 μB per formula unit
* energy relative to the elements, uncorrected: 50.21 kJ per mole of atoms
* energy above the most stable polymorph in this dataset: 0.00 eV per formula unit
* calculated density: 3.6 g/cm³

***

No. 8
Entry from the Alexandria database: a relaxed structure of Na2OsCl8 (PBE-GGA).

Structure (POSCAR):
```
Na2OsCl8
1.0
-4.905 4.151 2.603
-1.020 -7.015 1.754
4.925 -2.024 4.998
Na Cl Os
2 8 1
Direct
0.380 0.738 0.738
0.620 0.262 0.262
0.048 0.819 0.819
0.638 0.589 0.589
0.273 0.290 0.898
0.727 0.710 0.102
0.273 0.898 0.290
0.362 0.411 0.411
0.952 0.181 0.181
0.727 0.102 0.710
0.000 0.000 0.000
```

Values from the calculation:
* magnetization: 2.00 μB per formula unit
* energy relative to the elements, uncorrected: -77.76 kJ per mole of atoms
* calculated density: 2.8 g/cm³

***

No. 9
Entry from the Alexandria database: a relaxed structure of NaOsCl3 (PBE-GGA).

Structure (POSCAR):
```
NaOsCl3
1.0
-2.961 3.954 -0.423
-3.522 -2.853 -2.008
-1.845 -0.898 4.513
Os Cl Na
1 3 1
Direct
0.500 0.500 0.500
0.000 0.500 0.000
0.500 0.000 0.000
0.000 0.000 0.500
0.000 0.000 0.000
```

Values from the calculation:
* magnetization: 4.43 μB per formula unit
* energy relative to the elements, uncorrected: 66.01 kJ per mole of atoms
* energy above the most stable polymorph in this dataset: 4.92 eV per formula unit
* calculated density: 4.4 g/cm³

***

No. 10
Entry from the Alexandria database: a relaxed structure of Na2OsCl (PBE-GGA).

Structure (POSCAR):
```
Na2OsCl
1.0
-1.148 -4.649 -1.967
1.533 -4.297 2.448
-3.484 -3.019 2.356
Na Os Cl
2 1 1
Direct
0.750 0.750 0.750
0.250 0.250 0.250
0.500 0.500 0.500
0.000 0.000 0.000
```

Values from the calculation:
* magnetization: 3.00 μB per formula unit
* energy relative to the elements, uncorrected: 74.01 kJ per mole of atoms
* energy above the most stable polymorph in this dataset: 0.50 eV per formula unit
* calculated density: 4.6 g/cm³

***

No. 11
Entry from the Alexandria database: a relaxed structure of NaOsCl3 (PBE-GGA).

Structure (POSCAR):
```
NaOsCl3
1.0
-3.228 2.375 2.773
1.127 -2.872 3.772
3.473 3.140 1.354
Cl Na Os
3 1 1
Direct
0.500 0.000 0.000
0.000 0.500 0.000
0.000 0.000 0.500
0.500 0.500 0.500
0.000 0.000 0.000
```

Values from the calculation:
* magnetization: 1.34 μB per formula unit
* energy relative to the elements, uncorrected: -28.93 kJ per mole of atoms
* energy above the most stable polymorph in this dataset: 0.00 eV per formula unit
* calculated density: 4.6 g/cm³

***

No. 12
Entry from the Alexandria database: a relaxed structure of Na3OsCl8 (PBE-GGA).

Structure (POSCAR):
```
Na3OsCl8
1.0
6.946 0.399 0.000
-2.905 6.322 0.000
0.000 0.000 8.166
Na Cl Os
3 8 1
Direct
0.500 0.500 0.000
0.500 0.000 0.784
0.000 0.500 0.216
0.286 0.290 0.300
0.710 0.714 0.700
0.730 0.270 0.000
0.298 0.702 0.500
0.714 0.710 0.300
0.290 0.286 0.700
0.702 0.298 0.500
0.270 0.730 0.000
0.500 0.500 0.500
```

Values from the calculation:
* magnetization: 3.04 μB per formula unit
* energy relative to the elements, uncorrected: -101.49 kJ per mole of atoms
* calculated density: 2.4 g/cm³